1.
Here is a geometry-optimized PmErHg6 structure from Alexandria. Energies are from GGA-PBE.

a = 4.7166 Å, b = 4.7166 Å, c = 8.9584 Å
α = 90.00°, β = 90.00°, γ = 90.00°
Closest atoms and distances in Å follow each position.
Fractional coordinates of all 8 atoms:
1 Pm 0.0000 0.0000 0.0000  12 Hg 3.29-3.34
2 Er 0.0000 0.0000 0.5000  12 Hg 3.22-3.34
3 Hg 0.0000 0.5000 0.2559  8 Hg 3.22-3.34, 2 Er 3.22, 2 Pm 3.29
4 Hg 0.0000 0.5000 0.7441  8 Hg 3.22-3.34, 2 Er 3.22, 2 Pm 3.29
5 Hg 0.5000 0.0000 0.2559  8 Hg 3.22-3.34, 2 Er 3.22, 2 Pm 3.29
6 Hg 0.5000 0.0000 0.7441  8 Hg 3.22-3.34, 2 Er 3.22, 2 Pm 3.29
7 Hg 0.5000 0.5000 0.0000  8 Hg 3.29, 4 Pm 3.34
8 Hg 0.5000 0.5000 0.5000  8 Hg 3.22, 4 Er 3.34

Summary:
- ΔE_f (eV per atom) = -0.318
- magnetic moment (μB per atom) = 0.00
- final energy (eV/cell) = -13.67
- energy above the lowest structure with this stoichiometry (eV per formula unit) = 0.26



2.
Here is a geometry-optimized Pm2Er2Hg3 structure from Alexandria. Energies are from GGA-PBE.

a = 5.1948 Å, b = 5.1948 Å, c = 9.0702 Å
α = 106.53°, β = 106.53°, γ = 60.22°
Closest atoms and distances in Å follow each position.
Fractional coordinates of all 7 atoms:
1 Pm 0.1277 0.1277 0.3818  5 Hg 3.22-3.27
2 Pm 0.8723 0.8723 0.6182  5 Hg 3.22-3.27
3 Er 0.3772 0.3772 0.1310  7 Hg 3.15-3.21
4 Er 0.6228 0.6228 0.8690  7 Hg 3.15-3.21
5 Hg 0.0000 0.0000 0.0000  6 Er 3.20-3.21, 2 Pm 3.27
6 Hg 0.2519 0.2519 0.7574  4 Er 3.15-3.20, 4 Pm 3.22-3.23
7 Hg 0.7481 0.7481 0.2426  4 Er 3.15-3.20, 4 Pm 3.22-3.23

Summary:
- ΔE_f (eV per atom) = -0.322
- magnetic moment (μB per atom) = 0.09
- final energy (eV/cell) = -21.79



3.
Here is a geometry-optimized Pm2ErHg structure from Alexandria. Energies are from GGA-PBE.

a = 6.5342 Å, b = 6.5342 Å, c = 10.3933 Å
α = 90.00°, β = 90.00°, γ = 147.15°
Closest atoms and distances in Å follow each position.
Fractional coordinates of all 8 atoms:
1 Pm 0.1297 0.8703 0.5414  3 Hg 3.20-3.40, 1 Pm 3.36
2 Pm 0.1297 0.8703 0.9586  3 Hg 3.20-3.40, 1 Pm 3.36
3 Pm 0.8703 0.1297 0.0414  3 Hg 3.20-3.40, 1 Pm 3.36
4 Pm 0.8703 0.1297 0.4586  3 Hg 3.20-3.40, 1 Pm 3.36
5 Er 0.4519 0.5481 0.7500  2 Hg 3.17
6 Er 0.5481 0.4519 0.2500  2 Hg 3.17
7 Hg 0.2535 0.7465 0.2500  2 Er 3.17, 6 Pm 3.20-3.40
8 Hg 0.7465 0.2535 0.7500  2 Er 3.17, 6 Pm 3.20-3.40

Summary:
- ΔE_f (eV per atom) = -0.223
- magnetic moment (μB per atom) = 0.00
- final energy (eV/cell) = -30.52
- energy above the lowest structure with this stoichiometry (eV per formula unit) = 0.02



4.
Here is a geometry-optimized Pm2ErHg2 structure from Alexandria. Energies are from GGA-PBE.

a = 3.7662 Å, b = 5.3279 Å, c = 14.1072 Å
α = 90.00°, β = 97.66°, γ = 90.00°
Closest atoms and distances in Å follow each position.
Fractional coordinates of all 10 atoms:
1 Pm 0.0457 0.2500 0.0900  8 Hg 3.27-3.38, 2 Pm 3.66
2 Pm 0.2334 0.2500 0.4685  2 Hg 3.21, 4 Pm 3.38
3 Pm 0.7665 0.7500 0.5315  2 Hg 3.21, 4 Pm 3.38
4 Pm 0.9543 0.7500 0.9100  8 Hg 3.27-3.38, 2 Pm 3.66
5 Er 0.1472 0.7500 0.2934  6 Hg 3.18-3.27
6 Er 0.8528 0.2500 0.7066  6 Hg 3.18-3.27
7 Hg 0.3589 0.7500 0.7176  4 Pm 3.21-3.29, 4 Er 3.26-3.27, 2 Hg 3.59
8 Hg 0.4446 0.2500 0.8896  2 Er 3.18, 6 Pm 3.27-3.38
9 Hg 0.5554 0.7500 0.1104  2 Er 3.18, 6 Pm 3.27-3.38
10 Hg 0.6411 0.2500 0.2824  4 Pm 3.21-3.29, 4 Er 3.26-3.27, 2 Hg 3.59

Summary:
- ΔE_f (eV per atom) = -0.369
- magnetic moment (μB per atom) = 0.07
- final energy (eV/cell) = -33.03
- energy above the lowest structure with this stoichiometry (eV per formula unit) = 0.00



5.
Here is a geometry-optimized Pm3Er2Hg4 structure from Alexandria. Energies are from GGA-PBE.

a = 10.1483 Å, b = 10.1483 Å, c = 7.9652 Å
α = 90.00°, β = 90.00°, γ = 140.42°
Closest atoms and distances in Å follow each position.
Fractional coordinates of all 18 atoms:
1 Pm 0.0000 0.0000 0.0000  6 Hg 2.98-3.05
2 Pm 0.0102 0.4898 0.2500  5 Hg 3.08-3.27, 2 Pm 3.44
3 Pm 0.4898 0.0102 0.7500  5 Hg 3.08-3.27, 2 Pm 3.44
4 Pm 0.5000 0.5000 0.5000  6 Hg 2.98-3.05
5 Pm 0.5102 0.9898 0.2500  5 Hg 3.08-3.27, 2 Pm 3.44
6 Pm 0.9898 0.5102 0.7500  5 Hg 3.08-3.27, 2 Pm 3.44
7 Er 0.0930 0.9070 0.4144  3 Hg 3.20-3.24
8 Er 0.4070 0.5930 0.9144  3 Hg 3.20-3.24
9 Er 0.5930 0.4070 0.0856  3 Hg 3.20-3.24
10 Er 0.9070 0.0930 0.5856  3 Hg 3.20-3.24
11 Hg 0.1588 0.8412 0.0400  5 Pm 3.05-3.27, 1 Er 3.24, 2 Hg 3.31
12 Hg 0.1763 0.3237 0.2500  3 Pm 2.98-3.17, 2 Er 3.20, 2 Hg 3.31
13 Hg 0.3237 0.1763 0.7500  3 Pm 2.98-3.17, 2 Er 3.20, 2 Hg 3.31
14 Hg 0.3412 0.6588 0.5400  5 Pm 3.05-3.27, 1 Er 3.24, 2 Hg 3.31
15 Hg 0.6588 0.3412 0.4600  5 Pm 3.05-3.27, 1 Er 3.24, 2 Hg 3.31
16 Hg 0.6763 0.8237 0.2500  3 Pm 2.98-3.17, 2 Er 3.20, 2 Hg 3.31
17 Hg 0.8237 0.6763 0.7500  3 Pm 2.98-3.17, 2 Er 3.20, 2 Hg 3.31
18 Hg 0.8412 0.1588 0.9600  5 Pm 3.05-3.27, 1 Er 3.24, 2 Hg 3.31

Summary:
- ΔE_f (eV per atom) = -0.274
- magnetic moment (μB per atom) = 0.00
- final energy (eV/cell) = -54.10



6.
Here is a geometry-optimized PmEr3Hg3 structure from Alexandria. Energies are from GGA-PBE.

a = 9.2755 Å, b = 9.2755 Å, c = 5.1313 Å
α = 90.00°, β = 90.00°, γ = 120.00°
Closest atoms and distances in Å follow each position.
Fractional coordinates of all 14 atoms:
1 Pm 0.3333 0.6667 0.2500  9 Hg 3.23-3.49
2 Pm 0.6667 0.3333 0.7500  9 Hg 3.23-3.49
3 Er 0.0102 0.7670 0.7500  4 Hg 3.01-3.26
4 Er 0.2330 0.2432 0.7500  4 Hg 3.01-3.26
5 Er 0.2432 0.0102 0.2500  4 Hg 3.01-3.26
6 Er 0.7568 0.9898 0.7500  4 Hg 3.01-3.26
7 Er 0.7670 0.7568 0.2500  4 Hg 3.01-3.26
8 Er 0.9898 0.2330 0.2500  4 Hg 3.01-3.26
9 Hg 0.0559 0.4411 0.7500  4 Er 3.01-3.26, 2 Hg 3.16, 1 Pm 3.23
10 Hg 0.3851 0.9441 0.7500  4 Er 3.01-3.26, 2 Hg 3.16, 1 Pm 3.23
11 Hg 0.4411 0.3851 0.2500  4 Er 3.01-3.26, 2 Hg 3.16, 1 Pm 3.23
12 Hg 0.5589 0.6149 0.7500  4 Er 3.01-3.26, 2 Hg 3.16, 1 Pm 3.23
13 Hg 0.6149 0.0559 0.2500  4 Er 3.01-3.26, 2 Hg 3.16, 1 Pm 3.23
14 Hg 0.9441 0.5589 0.2500  4 Er 3.01-3.26, 2 Hg 3.16, 1 Pm 3.23

Summary:
- ΔE_f (eV per atom) = -0.318
- magnetic moment (μB per atom) = 0.00
- final energy (eV/cell) = -43.14



7.
Here is a geometry-optimized PmEr2Hg structure from Alexandria. Energies are from GGA-PBE.

a = 10.7020 Å, b = 10.7020 Å, c = 10.7020 Å
α = 19.56°, β = 19.56°, γ = 19.56°
Closest atoms and distances in Å follow each position.
Fractional coordinates of all 4 atoms:
1 Pm 0.0000 0.0000 0.0000  6 Er 3.58, 6 Pm 3.64
2 Er 0.2412 0.2412 0.2412  3 Hg 3.14
3 Er 0.4256 0.4256 0.4256  3 Hg 3.15
4 Hg 0.8336 0.8336 0.8336  6 Er 3.14-3.15

Summary:
- ΔE_f (eV per atom) = -0.153
- magnetic moment (μB per atom) = 0.00
- final energy (eV/cell) = -14.79
- energy above the lowest structure with this stoichiometry (eV per formula unit) = 0.33



8.
Here is a geometry-optimized PmErHg2 structure from Alexandria. Energies are from GGA-PBE.

a = 5.3111 Å, b = 5.3111 Å, c = 5.3111 Å
α = 60.00°, β = 60.00°, γ = 60.00°
Closest atoms and distances in Å follow each position.
Fractional coordinates of all 4 atoms:
1 Pm 0.0000 0.0000 0.0000  8 Hg 3.25
2 Er 0.5000 0.5000 0.5000  8 Hg 3.25
3 Hg 0.2500 0.2500 0.2500  4 Er 3.25, 4 Pm 3.25
4 Hg 0.7500 0.7500 0.7500  4 Er 3.25, 4 Pm 3.25

Summary:
- ΔE_f (eV per atom) = -0.468
- magnetic moment (μB per atom) = 0.14
- final energy (eV/cell) = -11.79
- energy above the lowest structure with this stoichiometry (eV per formula unit) = 0.05



9.
Here is a geometry-optimized Pm2ErHg structure from Alexandria. Energies are from GGA-PBE.

a = 5.1969 Å, b = 5.1969 Å, c = 8.8802 Å
α = 90.00°, β = 90.00°, γ = 90.00°
Closest atoms and distances in Å follow each position.
Fractional coordinates of all 8 atoms:
1 Pm 0.2500 0.2500 0.2208  4 Hg 3.26, 4 Pm 3.59
2 Pm 0.2500 0.7500 0.5000  8 Pm 3.59-3.67, 4 Er 3.61
3 Pm 0.7500 0.2500 0.5000  8 Pm 3.59-3.67, 4 Er 3.61
4 Pm 0.7500 0.7500 0.7792  4 Hg 3.26, 4 Pm 3.59
5 Er 0.2500 0.2500 0.7825  4 Hg 3.24, 4 Pm 3.61
6 Er 0.7500 0.7500 0.2175  4 Hg 3.24, 4 Pm 3.61
7 Hg 0.2500 0.7500 0.0000  4 Er 3.24, 4 Pm 3.26
8 Hg 0.7500 0.2500 0.0000  4 Er 3.24, 4 Pm 3.26

Summary:
- ΔE_f (eV per atom) = -0.228
- magnetic moment (μB per atom) = 0.00
- final energy (eV/cell) = -30.56
- energy above the lowest structure with this stoichiometry (eV per formula unit) = 0.00



10.
Here is a geometry-optimized PmEr2Hg structure from Alexandria. Energies are from GGA-PBE.

a = 10.7564 Å, b = 10.7564 Å, c = 10.7564 Å
α = 19.30°, β = 19.30°, γ = 19.30°
Closest atoms and distances in Å follow each position.
Fractional coordinates of all 4 atoms:
1 Pm 0.0000 0.0000 0.0000  6 Er 3.57, 6 Pm 3.61
2 Er 0.2416 0.2416 0.2416  3 Hg 3.16
3 Er 0.7584 0.7584 0.7584  3 Hg 3.16
4 Hg 0.5000 0.5000 0.5000  6 Er 3.16

Summary:
- ΔE_f (eV per atom) = -0.172
- magnetic moment (μB per atom) = 0.00
- final energy (eV/cell) = -14.87
- energy above the lowest structure with this stoichiometry (eV per formula unit) = 0.26



11.
Here is a geometry-optimized Pm4Er2Hg structure from Alexandria. Energies are from GGA-PBE.

a = 8.4600 Å, b = 8.4600 Å, c = 8.5639 Å
α = 116.95°, β = 116.95°, γ = 24.34°
Closest atoms and distances in Å follow each position.
Fractional coordinates of all 7 atoms:
1 Pm 0.0840 0.0840 0.2037  5 Pm 3.30-3.61, 3 Er 3.32-3.44, 1 Hg 3.41
2 Pm 0.3701 0.3701 0.1127  2 Hg 3.49, 3 Er 3.54-3.67, 6 Pm 3.57-3.71
3 Pm 0.6299 0.6299 0.8873  2 Hg 3.49, 3 Er 3.54-3.67, 6 Pm 3.57-3.71
4 Pm 0.9160 0.9160 0.7963  5 Pm 3.30-3.61, 3 Er 3.32-3.44, 1 Hg 3.41
5 Er 0.2154 0.2154 0.6378  1 Hg 3.19, 5 Pm 3.32-3.54, 4 Er 3.54-3.57
6 Er 0.7846 0.7846 0.3622  1 Hg 3.19, 5 Pm 3.32-3.54, 4 Er 3.54-3.57
7 Hg 0.0000 0.0000 0.5000  2 Er 3.19, 6 Pm 3.41-3.49, 2 Hg 3.57

Summary:
- ΔE_f (eV per atom) = -0.013
- magnetic moment (μB per atom) = 0.00
- final energy (eV/cell) = -28.52



12.
Here is a geometry-optimized PmEr2Hg5 structure from Alexandria. Energies are from GGA-PBE.

a = 8.1961 Å, b = 8.1961 Å, c = 8.1961 Å
α = 142.86°, β = 142.86°, γ = 53.53°
Closest atoms and distances in Å follow each position.
Fractional coordinates of all 8 atoms:
1 Pm 0.0000 0.0000 0.0000  8 Hg 3.22
2 Er 0.2658 0.2658 0.0000  8 Hg 3.03-3.29
3 Er 0.7342 0.7342 0.0000  8 Hg 3.03-3.29
4 Hg 0.1289 0.6289 0.5000  4 Er 3.03-3.29, 2 Hg 3.22, 2 Pm 3.22
5 Hg 0.3711 0.8711 0.5000  4 Er 3.03-3.29, 2 Hg 3.22, 2 Pm 3.22
6 Hg 0.5000 0.5000 0.0000  8 Hg 3.22, 2 Er 3.43
7 Hg 0.6289 0.1289 0.5000  4 Er 3.03-3.29, 2 Hg 3.22, 2 Pm 3.22
8 Hg 0.8711 0.3711 0.5000  4 Er 3.03-3.29, 2 Hg 3.22, 2 Pm 3.22

Summary:
- ΔE_f (eV per atom) = -0.435
- magnetic moment (μB per atom) = 0.00
- final energy (eV/cell) = -18.86



13.
Here is a geometry-optimized PmErHg6 structure from Alexandria. Energies are from GGA-PBE.

a = 5.0408 Å, b = 6.6964 Å, c = 6.6964 Å
α = 59.80°, β = 90.00°, γ = 90.00°
Closest atoms and distances in Å follow each position.
Fractional coordinates of all 8 atoms:
1 Pm 0.0000 0.0000 0.0000  12 Hg 3.20-3.37
2 Er 0.5000 0.3424 0.3424  12 Hg 3.16-3.38
3 Hg 0.0000 0.0109 0.4977  8 Hg 3.16-3.43, 2 Er 3.17, 2 Pm 3.33-3.37
4 Hg 0.0000 0.4977 0.0109  8 Hg 3.16-3.43, 2 Er 3.17, 2 Pm 3.33-3.37
5 Hg 0.0000 0.5070 0.5070  2 Er 3.16, 8 Hg 3.17-3.35, 2 Pm 3.34
6 Hg 0.5000 0.3406 0.8386  8 Hg 3.16-3.45, 2 Pm 3.20, 2 Er 3.32-3.38
7 Hg 0.5000 0.8299 0.8299  8 Hg 3.17-3.45, 2 Pm 3.20, 2 Er 3.34
8 Hg 0.5000 0.8386 0.3406  8 Hg 3.16-3.45, 2 Pm 3.20, 2 Er 3.32-3.38

Summary:
- ΔE_f (eV per atom) = -0.351
- magnetic moment (μB per atom) = 0.00
- final energy (eV/cell) = -13.93
- energy above the lowest structure with this stoichiometry (eV per formula unit) = 0.00